# 1
The following is a DFT calculation (PBE) of Rb5In2Te4 after structural relaxation.

The structure in POSCAR format:
```
Rb5In2Te4
1.0
5.712 0.000 0.000
0.000 9.743 1.279
-2.856 -1.788 8.939
Rb In Te
5 2 4
direct
0.159 0.974 0.318
0.841 0.026 0.682
0.159 0.511 0.318
0.500 0.000 0.000
0.841 0.489 0.682
0.526 0.648 0.051
0.474 0.352 0.949
0.683 0.745 0.366
0.985 0.750 0.969
0.317 0.255 0.634
0.015 0.250 0.031
```

Summary:
Raw formation energy: -0.78 eV/atom

---

# 2
The following is a DFT calculation (PBE) of V4Cr2Fe after structural relaxation.

The structure in POSCAR format:
```
V4Cr2Fe
1.0
-1.472 -4.324 -1.885
3.034 -0.782 3.822
-3.918 2.561 1.584
V Cr Fe
4 2 1
direct
0.500 0.000 0.000
0.500 0.500 0.500
0.000 0.000 0.500
0.000 0.500 0.000
0.500 0.500 0.000
0.500 0.000 0.500
0.000 0.000 0.000
```

Summary:
Energy above the most stable polymorph in this dataset: 0 meV per atom
DFT formation energy: 111 kJ/mol of formula units

---

Number 1: volume 46.407 Å³/atom. Number 2: volume 13.271 Å³/atom.